No. 1
Entry from Alexandria: a geometry-optimized NdZn3Cu structure (GGA-PBE).

Properties
Calculated density in g/cm3: 7.273
DOS at the Fermi energy in states/eV per cell: 2.92
Energy above the most stable polymorph in this dataset in meV/atom: 23
DFT total energy in eV/atom: -2.785
Formation enthalpy at 0 K in eV per atom: -0.248
M_tot in μB per atom: 0.00

Cell lengths 5.3068, 6.3358, 6.3358 Å; angles 120.00, 90.00, 90.00 degrees
Closest atoms and distances in Å follow each position.
Atoms (fractional coordinates):
Nd 0.7499 0.6667 0.3334  12 Zn 3.08-3.18
Nd 0.2501 0.3333 0.6666  12 Zn 3.08-3.18
Zn 0.7500 0.6184 0.8092  2 Cu 2.48, 2 Zn 2.71
Zn 0.2500 0.8092 0.6185  2 Cu 2.48, 2 Zn 2.71
Zn 0.2500 0.3816 0.1908  2 Cu 2.48, 2 Zn 2.71
Zn 0.7500 0.1908 0.3815  2 Cu 2.48, 2 Zn 2.71
Zn 0.2499 0.8092 0.1907  2 Cu 2.48, 2 Zn 2.71
Zn 0.7501 0.1908 0.8093  2 Cu 2.48, 2 Zn 2.71
Cu 0.0000 0.0000 0.0000  6 Zn 2.48, 2 Cu 2.65
Cu 0.5000 0.0000 0.0000  6 Zn 2.48, 2 Cu 2.65

=====

No. 2
Entry from Alexandria: a geometry-optimized AlCd3O4 structure (GGA-PBE).

Properties
Calculated density in g/cm3: 5.828
DOS at the Fermi energy in states/eV per cell: 0.97
DFT total energy in eV/atom: -4.829
M_tot in μB per atom: 0.00
E_form (uncorrected) in eV/atom: -1.539

Cell lengths 5.0083, 5.0083, 6.0170 Å; angles 114.59, 114.59, 90.00 degrees
Closest atoms and distances in Å follow each position.
Atoms (fractional coordinates):
Al 0.0000 0.0000 0.0000  4 O 1.81
Cd 0.5000 0.5000 0.0000  4 O 2.31
Cd 0.7500 0.2500 0.5000  4 O 2.27
Cd 0.2500 0.7500 0.5000  4 O 2.27
O 0.3154 0.3154 0.2134  1 Al 1.81
O 0.8980 0.8980 0.2134  1 Al 1.81
O 0.1020 0.6846 0.7866  1 Al 1.81
O 0.6846 0.1020 0.7866  1 Al 1.81

=====

No. 3
Entry from Alexandria: a geometry-optimized Ag5BiS4 structure (GGA-PBE).

Properties
Calculated density in g/cm3: 6.609
DOS at the Fermi energy in states/eV per cell: 0.15
Energy above the most stable polymorph in this dataset in meV/atom: 13
DFT total energy in eV/atom: -3.514
M_tot in μB per atom: 0.00
E_form (uncorrected) in eV/atom: -0.049

Cell lengths 4.0755, 8.3644, 7.5114 Å; angles 116.62, 90.00, 104.10 degrees
Closest atoms and distances in Å follow each position.
Atoms (fractional coordinates):
Ag 0.1795 0.3591 0.4290  4 S 2.58-2.78, 2 Ag 2.87
Ag 0.1798 0.3596 0.9319  4 S 2.58-2.77, 2 Ag 2.87
Ag 0.8202 0.6404 0.0681  4 S 2.58-2.77, 2 Ag 2.87
Ag 0.5000 0.0000 0.5000  4 S 2.68
Ag 0.8204 0.6409 0.5710  4 S 2.58-2.78, 2 Ag 2.87
Bi 0.5000 0.0000 0.0000  6 S 2.85-2.87
S 0.6981 0.3963 0.1983  6 Ag 2.58-2.78, 1 Bi 2.85
S 0.9999 0.9998 0.2686  4 Ag 2.59-2.68, 2 Bi 2.87
S 0.3019 0.6037 0.8017  6 Ag 2.58-2.78, 1 Bi 2.85
S 0.0001 0.0002 0.7314  4 Ag 2.59-2.68, 2 Bi 2.87

=====

The highest DFT total energy belongs to which entry?
NdZn3Cu